A plane-wave DFT calculation with GGA-PBE was carried out for a relaxed structure of GeHIr2.

Output
M_tot ... 0.00 μB/cell
VASP energy ... -0.224 Ha/atom
Calculated volume ... 15.7 Å³ per atom

a = 4.457 Å, b = 4.457 Å, c = 4.465 Å
α = 60.05°, β = 60.05°, γ = 60.00°
Fractional coordinates of all 4 atoms:
1 H 0.000 0.000 0.000
2 Ir 0.842 0.842 0.475
3 Ir 0.158 0.158 0.525
4 Ge 0.500 0.500 0.500


A plane-wave DFT calculation with GGA-PBE was carried out for a relaxed structure of Nd2SmDy4Mg.

Output
M_tot ... 0.00 μB/cell
ΔE_f ... 27 meV/atom
VASP energy ... -0.156 Ha/atom
Calculated volume ... 31.8 Å³ per atom

a = 4.986 Å, b = 4.997 Å, c = 11.362 Å
α = 63.92°, β = 90.00°, γ = 90.00°
Fractional coordinates of all 8 atoms:
1 Nd 0.500 0.000 0.500
2 Nd 0.000 0.000 0.000
3 Dy 0.000 0.253 0.248
4 Dy 0.500 0.247 0.752
5 Dy 0.000 0.747 0.752
6 Dy 0.500 0.753 0.248
7 Mg 0.500 0.500 0.000
8 Sm 0.000 0.500 0.500


A plane-wave DFT calculation with GGA-PBE was carried out for a relaxed structure of ZnRhCl.

Output
Uncorrected formation energy ... 0.48 eV/atom
M_tot ... 0.21 μB/cell
VASP energy ... -0.111 Ha/atom
Calculated volume ... 18.7 Å³ per atom

a = 4.295 Å, b = 4.295 Å, c = 4.295 Å
α = 60.00°, β = 60.00°, γ = 60.00°
Each line ends with the local moment (μB).
Fractional coordinates of all 3 atoms:
1 Cl 0.000 0.000 0.000  0.02
2 Rh 0.500 0.500 0.500  0.21
3 Zn 0.250 0.250 0.250  -0.01


A plane-wave DFT calculation with GGA-PBE was carried out for a relaxed structure of AcCdHg6.

Output
M_tot ... 0.00 μB/cell
ΔE_f ... -187 meV/atom
VASP energy ... -0.038 Ha/atom
Calculated volume ... 27.2 Å³ per atom

a = 5.133 Å, b = 6.803 Å, c = 6.803 Å
α = 113.50°, β = 90.00°, γ = 90.00°
Fractional coordinates of all 8 atoms:
1 Cd 0.500 0.366 0.634
2 Hg 0.000 0.630 0.923
3 Hg 0.000 0.077 0.370
4 Hg 0.000 0.572 0.428
5 Hg 0.500 0.861 0.554
6 Hg 0.500 0.924 0.076
7 Hg 0.500 0.446 0.139
8 Ac 0.000 0.123 0.877


A plane-wave DFT calculation with GGA-PBE was carried out for a relaxed structure of CsBaScCl6.

Output
Uncorrected formation energy ... -2.24 eV/atom
M_tot ... 0.00 μB/cell
VASP energy ... -0.165 Ha/atom
Calculated volume ... 39.1 Å³ per atom

a = 7.546 Å, b = 7.546 Å, c = 14.265 Å
α = 90.00°, β = 90.00°, γ = 120.00°
Fractional coordinates of all 18 atoms:
1 Cl 0.944 0.347 0.147
2 Cl 0.653 0.056 0.353
3 Cl 0.347 0.402 0.853
4 Cl 0.056 0.402 0.647
5 Cl 0.056 0.653 0.853
6 Cl 0.944 0.598 0.353
7 Cl 0.347 0.944 0.647
8 Cl 0.402 0.347 0.353
9 Cl 0.402 0.056 0.147
10 Cl 0.598 0.944 0.853
11 Cl 0.653 0.598 0.147
12 Cl 0.598 0.653 0.647
13 Cs 0.000 0.000 0.000
14 Cs 0.000 0.000 0.500
15 Sc 0.667 0.333 0.250
16 Sc 0.333 0.667 0.750
17 Ba 0.667 0.333 0.750
18 Ba 0.333 0.667 0.250


A plane-wave DFT calculation with GGA-PBE was carried out for a relaxed structure of La2CdRh.

Output
M_tot ... 0.00 μB/cell
ΔE_f ... -359 meV/atom
VASP energy ... -0.180 Ha/atom
Calculated volume ... 23.4 Å³ per atom

a = 5.099 Å, b = 5.099 Å, c = 5.099 Å
α = 60.00°, β = 60.00°, γ = 60.00°
Fractional coordinates of all 4 atoms:
1 Cd 0.250 0.250 0.250
2 Rh 0.500 0.500 0.500
3 La 0.750 0.750 0.750
4 La 0.000 0.000 0.000


A plane-wave DFT calculation with GGA-PBE was carried out for a relaxed structure of NaEuBiSb.

Output
Uncorrected formation energy ... -0.50 eV/atom
M_tot ... 6.96 μB/cell
VASP energy ... -0.198 Ha/atom
Calculated volume ... 30.3 Å³ per atom

a = 5.555 Å, b = 5.555 Å, c = 5.555 Å
α = 60.00°, β = 60.00°, γ = 60.00°
Each line ends with the local moment (μB).
Fractional coordinates of all 4 atoms:
1 Na 0.000 0.000 0.000  0.00
2 Bi 0.750 0.750 0.750  -0.01
3 Sb 0.250 0.250 0.250  0.00
4 Eu 0.500 0.500 0.500  -6.80